[1]
DFT (PBE) results for crystalline Cs2TiVH at its relaxed geometry.

The structure belongs to space group P4/mmm (No. 123); the cell edges are 6.452, 6.452 and 3.895 Å and the angles 90.00°, 90.00° and 90.00°. The inequivalent atoms are Cs at (0.000, 0.500, 0.000), Ti at (0.000, 0.000, 0.500), V at (0.500, 0.500, 0.500) and H at (0.500, 0.500, 0.000).

For the total energy, the calculation gives -3.231 eV/atom.


[2]
DFT (PBE) results for crystalline ZnPd2Pb2 at its relaxed geometry.

The structure belongs to space group P4/mbm (No. 127); the cell edges are 6.951, 6.951 and 4.339 Å and the angles 90.00°, 90.00° and 90.00°. The inequivalent atoms are Zn at (0.000, 0.000, 0.000), Pd at (0.147, 0.353, 0.000) and Pb at (0.164, 0.664, 0.500).

The value obtained for the formation enthalpy at 0 K is -0.18 eV per atom. The energy above the most stable polymorph in this dataset comes out at 0.000 eV per atom.


[3]
DFT (PBE) results for crystalline Ba2NdPbO4 at its relaxed geometry.

The structure belongs to space group P2/m (No. 10); the cell edges are 6.867, 3.655 and 7.242 Å and the angles 90.00°, 114.22° and 90.00°. The inequivalent atoms are Ba at (0.000, 0.000, 0.000), Ba at (0.500, 0.500, 0.500), Nd at (0.000, 0.000, 0.500), Pb at (0.500, 0.500, 0.000), O at (0.067, 0.500, 0.306) and O at (0.378, 0.000, 0.713).

As for the formation energy without anion corrections: -2.214 eV per atom.


[4]
DFT (PBE) results for crystalline Mg2TiB2Rh5 at its relaxed geometry.

The structure belongs to space group P4/mbm (No. 127); the cell edges are 9.472, 9.472 and 2.951 Å and the angles 90.00°, 90.00° and 90.00°. The inequivalent atoms are Mg at (0.176, 0.324, 0.000), Ti at (0.000, 0.000, 0.000), B at (0.123, 0.623, 0.000), Rh at (0.000, 0.500, 0.500) and Rh at (0.071, 0.784, 0.500).

The value obtained for the formation enthalpy at 0 K is -0.64 eV per atom.


[5]
DFT (PBE) results for crystalline ThUHg at its relaxed geometry.

The structure belongs to space group Cmcm (No. 63); the cell edges are 4.291, 19.122 and 3.883 Å and the angles 90.00°, 90.00° and 90.00°. The inequivalent atoms are Th at (0.000, 0.113, 0.250), U at (0.000, 0.458, 0.250) and Hg at (0.000, 0.290, 0.250).

The value obtained for the formation enthalpy at 0 K is 0.16 eV per atom.


[6]
DFT (PBE) results for crystalline CePrPu2N4 at its relaxed geometry.

The structure belongs to space group P2/m (No. 10); the cell edges are 6.137, 3.547 and 6.153 Å and the angles 90.00°, 109.57° and 90.00°. The inequivalent atoms are Ce at (0.000, 0.000, 0.000), Pr at (0.000, 0.500, 0.500), Pu at (0.500, 0.000, 0.500), Pu at (0.500, 0.500, 0.000), N at (0.268, 0.500, 0.249) and N at (0.276, 0.000, 0.766).

As for the formation energy without anion corrections: -1.332 eV per atom.


Calculated values (g/cm³) of density for the records, taken in order: 3.74 10.97 6.91 7.93 13.98 10.86.
Calculated values (μB per formula unit) of magnetization for the records, taken in order: 7.94 0.00 0.82 0.00 1.16 9.83.
Calculated values (states/eV per cell) of N(E_F) for the records, taken in order: 5.54 3.89 0.90 6.15 22.95 13.76.